This record from Alexandria via LeMat-Bulk describes a geometry-optimized PrSmY2Se4 structure. The functional is PBE.

Computed properties:
The value obtained for the volume is 202.65 Å³/cell. As for the crystal system: monoclinic. For the magnetization, the calculation gives 0.00 μB/cell. The formation energy (no corrections) is -14.4 eV/f.u. The calculation puts the density of states at the Fermi level at 4.448 states/eV/cell.

a = 7.1551 Å, b = 4.0918 Å, c = 7.3090 Å
α = 90.00°, β = 108.73°, γ = 90.00°
Positions (direct):
Pr1 0.0000 0.0000 0.0000
Sm1 0.5000 0.5000 0.0000
Y1 0.0000 0.5000 0.5000
Y2 0.5000 0.0000 0.5000
Se1 0.2495 0.0000 0.7389
Se2 0.2581 0.5000 0.2637
Se3 0.7419 0.5000 0.7363
Se4 0.7505 0.0000 0.2611

=====

This record from Alexandria via LeMat-Bulk describes a geometry-optimized Ni5Pt2Rh2 structure. The functional is PBE.

Computed properties:
The value obtained for the volume is 118.40 Å³/cell. As for the crystal system: triclinic. For the offset from the most stable computed form, the calculation gives 93 meV/atom. For the magnetization, the calculation gives 6.32 μB/cell. The calculation puts the density of states at the Fermi level at 14.465 states/eV/cell. The value obtained for the formation energy is 73 meV per atom.

a = 2.6525 Å, b = 4.3728 Å, c = 10.4623 Å
α = 78.05°, β = 85.83°, γ = 89.91°
Positions (direct):
Ni1 0.0000 0.0000 0.0000
Ni2 0.2226 0.2295 0.5406
Ni3 0.2589 0.4499 0.0996
Ni4 0.7411 0.5501 0.9004
Ni5 0.7774 0.7705 0.4594
Pt1 0.3460 0.8858 0.2280
Pt2 0.6540 0.1142 0.7720
Rh1 0.2102 0.6629 0.6744
Rh2 0.7898 0.3371 0.3256

=====

This record from Alexandria via LeMat-Bulk describes a geometry-optimized SmThI structure. The functional is PBE.

Computed properties:
The value obtained for the volume is 220.46 Å³/cell. As for the crystal system: monoclinic. For the magnetization, the calculation gives 0.00 μB/cell. The formation energy (no corrections) is -1.4 eV/f.u. The calculation puts the density of states at the Fermi level at 7.927 states/eV/cell.

a = 3.8254 Å, b = 3.8254 Å, c = 17.4086 Å
α = 91.90°, β = 91.90°, γ = 60.00°
Positions (direct):
Sm1 0.0000 0.0000 0.0000
Sm2 0.7188 0.7188 0.4968
Th1 0.0346 0.0346 0.3296
Th2 0.6828 0.6828 0.1672
I1 0.0652 0.0652 0.6251
I2 0.6539 0.6539 0.8717

=====

This record from Alexandria via LeMat-Bulk describes a geometry-optimized MgTlZn structure. The functional is PBE.

Computed properties:
The value obtained for the volume is 66.93 Å³/cell. As for the crystal system: trigonal. For the offset from the most stable computed form, the calculation gives 28 meV/atom. For the magnetization, the calculation gives 0.00 μB/cell. The calculation puts the density of states at the Fermi level at 0.952 states/eV/cell. The value obtained for the formation energy is 70 meV per atom.

a = 4.9158 Å, b = 4.9158 Å, c = 3.1981 Å
α = 90.00°, β = 90.00°, γ = 120.00°
Positions (direct):
Mg1 0.0000 0.0000 0.0000
Tl1 0.6667 0.3333 0.4950
Zn1 0.3333 0.6667 0.5081